## SrTaIn (meta-GGA SCAN)

Data for a PBEsol-optimized structure of SrTaIn.

The energy above the most stable polymorph in this dataset is 0 kJ/mol of formula units. For the uncorrected energy, the calculation gives -242.0 eV per cell. As for the formation energy: 0.4073 eV per atom. For the density of states at the Fermi level, the calculation gives 0.626 states/eV/atom.

The structure belongs to space group I4mm (No. 107); the cell edges are 3.040, 3.040 and 15.231 Å and the angles 90.00°, 90.00° and 90.00°. The distinct sites, in fractional coordinates, are Sr at (0.000, 0.000, 0.000), Ta at (0.000, 0.000, 0.681) and In at (0.000, 0.000, 0.322).